Record 1
# ZnCoAu2

A relaxed ZnCoAu2 crystal (PBE, Alexandria).

Symmetry: No. 119
Total DFT energy (no corrections): -3.658 eV/atom

Lattice parameters (Å, degrees): 4.8664 4.8664 4.8664 132.44 132.44 69.53
Closest atoms and distances in Å follow each position.
Fractional coordinates of all 4 atoms:
Zn: 0.0000 0.0000 0.0000  8 Au 2.77-2.80, 4 Co 2.80
Co: 0.7500 0.2500 0.5000  8 Au 2.77-2.80, 4 Zn 2.80
Au: 0.2500 0.7500 0.5000  4 Co 2.77, 4 Au 2.80, 4 Zn 2.80
Au: 0.5000 0.5000 0.0000  4 Zn 2.77, 4 Au 2.80, 4 Co 2.80

---

Record 2
# Zn6CoAu2

A relaxed Zn6CoAu2 crystal (PBE, Alexandria).

Symmetry: No. 65
Offset from the most stable computed form: 0.0239 eV/atom

Lattice parameters (Å, degrees): 7.4935 7.4935 3.7717 90.00 90.00 134.84
Closest atoms and distances in Å follow each position.
Fractional coordinates of all 9 atoms:
Zn: 0.0918 0.3805 0.0000  1 Co 2.42, 2 Au 2.69
Zn: 0.2609 0.2609 0.5000  2 Co 2.41
Zn: 0.3805 0.0918 0.0000  1 Co 2.42, 2 Au 2.69
Zn: 0.6195 0.9082 0.0000  1 Co 2.42, 2 Au 2.69
Zn: 0.7391 0.7391 0.5000  2 Co 2.41
Zn: 0.9082 0.6195 0.0000  1 Co 2.42, 2 Au 2.69
Co: 0.0000 0.0000 0.0000  8 Zn 2.41-2.42
Au: 0.2702 0.7298 0.5000  8 Zn 2.69-2.90, 2 Au 2.93
Au: 0.7298 0.2702 0.5000  8 Zn 2.69-2.90, 2 Au 2.93

---

Record 3
# ZnCoAu2

A relaxed ZnCoAu2 crystal (PBE, Alexandria).

Symmetry: No. 6
Total DFT energy (no corrections): -3.669 eV/atom

Lattice parameters (Å, degrees): 2.8036 4.2496 5.3465 90.00 104.51 90.00
Closest atoms and distances in Å follow each position.
Fractional coordinates of all 4 atoms:
Zn: 0.0000 0.0000 0.0000  2 Co 2.53, 7 Au 2.76-2.79, 2 Zn 2.80
Co: 0.8702 0.5000 0.7361  2 Zn 2.53, 7 Au 2.75-2.81, 2 Co 2.80
Au: 0.2726 0.0000 0.5359  4 Co 2.75, 3 Zn 2.77-2.79, 4 Au 2.80-3.05
Au: 0.5991 0.5000 0.2057  3 Co 2.75-2.81, 4 Zn 2.76, 4 Au 2.80-3.05

---

Record 4
# ZnCoAu2

A relaxed ZnCoAu2 crystal (PBE, Alexandria).

Symmetry: No. 47
Total DFT energy (no corrections): -3.674 eV/atom

Lattice parameters (Å, degrees): 2.9469 3.5618 5.8811 90.00 90.00 90.00
Closest atoms and distances in Å follow each position.
Fractional coordinates of all 4 atoms:
Zn: 0.0000 0.0000 0.0000  8 Au 2.76, 2 Co 2.94, 2 Zn 2.95
Co: 0.0000 0.0000 0.5000  8 Au 2.72, 2 Zn 2.94, 2 Co 2.95
Au: 0.5000 0.5000 0.2557  4 Co 2.72, 4 Zn 2.76, 4 Au 2.87-3.01
Au: 0.5000 0.5000 0.7443  4 Co 2.72, 4 Zn 2.76, 4 Au 2.87-3.01

---

Record 5
# Zn2CoAu

A relaxed Zn2CoAu crystal (PBE, Alexandria).

Symmetry: No. 47
Total DFT energy (no corrections): -3.314 eV/atom

Lattice parameters (Å, degrees): 2.9785 3.2204 5.8321 90.00 90.00 90.00
Closest atoms and distances in Å follow each position.
Fractional coordinates of all 4 atoms:
Zn: 0.0000 0.0000 0.2189  4 Co 2.54, 1 Zn 2.55, 4 Au 2.74
Zn: 0.0000 0.0000 0.7811  4 Co 2.54, 1 Zn 2.55, 4 Au 2.74
Co: 0.5000 0.5000 0.0000  8 Zn 2.54
Au: 0.5000 0.5000 0.5000  8 Zn 2.74, 2 Co 2.92, 2 Au 2.98

---

Record 6
# Zn8CoAu2

A relaxed Zn8CoAu2 crystal (PBE, Alexandria).

Symmetry: No. 71
Total DFT energy (no corrections): -2.281 eV/atom

Lattice parameters (Å, degrees): 7.0247 7.0247 7.0247 145.49 120.04 71.06
Closest atoms and distances in Å follow each position.
Fractional coordinates of all 11 atoms:
Zn: 0.1413 0.3620 0.7793  1 Co 2.52, 2 Zn 2.61, 3 Au 2.69-2.71
Zn: 0.1453 0.1453 0.0000  6 Zn 2.59-2.86, 2 Co 2.66, 2 Au 2.74
Zn: 0.2836 0.0000 0.2836  6 Zn 2.59-2.61, 2 Au 2.73, 2 Co 2.88
Zn: 0.4173 0.6380 0.7793  1 Co 2.52, 2 Zn 2.61, 3 Au 2.69-2.71
Zn: 0.5827 0.3620 0.2207  1 Co 2.52, 2 Zn 2.61, 3 Au 2.69-2.71
Zn: 0.7164 0.0000 0.7164  6 Zn 2.59-2.61, 2 Au 2.73, 2 Co 2.88
Zn: 0.8547 0.8547 0.0000  6 Zn 2.59-2.86, 2 Co 2.66, 2 Au 2.74
Zn: 0.8587 0.6380 0.2207  1 Co 2.52, 2 Zn 2.61, 3 Au 2.69-2.71
Co: 0.0000 0.5000 0.5000  8 Zn 2.52-2.66
Au: 0.3011 0.8011 0.5000  10 Zn 2.69-2.74
Au: 0.6989 0.1989 0.5000  10 Zn 2.69-2.74

---

Summary of density of states at the Fermi level in states/eV/f.u.
6.372 4.156 3.292 4.120 1.796 3.537
(order as listed above)